Computed, not measured: an optimized crystal structure of Ba2Cd7Ga at the PBE-GGA level of DFT.

abc: 4.7510 4.7510 12.6539
angles: 90.00 90.00 90.00
Sites, in units of the cell vectors:
1 Ba 0.5000 0.0000 0.7568
2 Ba 0.0000 0.5000 0.2432
3 Cd 0.0000 0.5000 0.8708
4 Cd 0.5000 0.0000 0.3589
5 Cd 0.5000 0.0000 0.1292
6 Cd 0.0000 0.5000 0.6411
7 Cd 0.0000 0.0000 0.5000
8 Cd 0.0000 0.0000 0.0000
9 Cd 0.5000 0.5000 0.5000
10 Ga 0.5000 0.5000 0.0000

For the density of states at the Fermi level, the calculation gives 0.5800 states/eV per atom. The raw total energy is -16.00 eV/cell. For the formation energy, the calculation gives -0.2718 eV/atom.

***

Computed, not measured: an optimized crystal structure of BaCdGa at the PBE-GGA level of DFT.

abc: 5.0989 8.2990 8.4733
angles: 90.00 90.00 90.00
Sites, in units of the cell vectors:
1 Ba 0.0000 0.5000 0.5650
2 Ba 0.5000 0.0000 0.0650
3 Ba 0.0000 0.0000 0.6503
4 Ba 0.5000 0.5000 0.1503
5 Ga 0.0000 0.3276 0.9380
6 Ga 0.0000 0.6724 0.9380
7 Ga 0.5000 0.8276 0.4380
8 Ga 0.5000 0.1724 0.4380
9 Cd 0.0000 0.7981 0.2674
10 Cd 0.0000 0.2019 0.2674
11 Cd 0.5000 0.2981 0.7674
12 Cd 0.5000 0.7019 0.7674

For the density of states at the Fermi level, the calculation gives 0.5173 states/eV per atom. The raw total energy is -28.04 eV/cell. For the formation energy, the calculation gives -0.3821 eV/atom.

***

Computed, not measured: an optimized crystal structure of Ba2Cd2Ga at the PBE-GGA level of DFT.

abc: 5.1709 6.6353 11.2887
angles: 110.01 90.00 112.93
Sites, in units of the cell vectors:
1 Ba 0.6832 0.3664 0.0624
2 Ba 0.4029 0.8059 0.6109
3 Ba 0.3168 0.6336 0.9376
4 Ba 0.5971 0.1941 0.3891
5 Cd 0.9864 0.9728 0.8553
6 Cd 0.8916 0.7831 0.3704
7 Cd 0.0136 0.0272 0.1447
8 Cd 0.1084 0.2169 0.6296
9 Ga 0.2757 0.5514 0.2730
10 Ga 0.7243 0.4486 0.7270

For the density of states at the Fermi level, the calculation gives 0.7953 states/eV per atom. For the energy above the most stable polymorph in this dataset, the calculation gives 17.7 kJ/mol of formula units. The raw total energy is -20.28 eV/cell. For the formation energy, the calculation gives -0.2874 eV/atom.

***

Computed, not measured: an optimized crystal structure of Ba3Cd4Ga2 at the PBE-GGA level of DFT.

abc: 5.0464 6.6983 10.1027
angles: 67.88 75.54 67.87
Sites, in units of the cell vectors:
1 Ba 0.3365 0.6652 0.6618
2 Ba 0.0000 0.0000 0.0000
3 Ba 0.6635 0.3348 0.3382
4 Cd 0.2855 0.3710 0.0580
5 Cd 0.7145 0.6290 0.9420
6 Cd 0.0610 0.2640 0.6140
7 Cd 0.9390 0.7360 0.3860
8 Ga 0.3915 0.9416 0.2754
9 Ga 0.6085 0.0584 0.7246

For the density of states at the Fermi level, the calculation gives 0.8272 states/eV per atom. The raw total energy is -18.51 eV/cell. For the formation energy, the calculation gives -0.3359 eV/atom.

***

Computed, not measured: an optimized crystal structure of BaCdGa at the PBE-GGA level of DFT.

abc: 5.0195 8.5386 8.4259
angles: 90.00 90.00 90.00
Sites, in units of the cell vectors:
1 Ba 0.2500 0.2986 0.7571
2 Ba 0.7500 0.7014 0.7571
3 Ba 0.7500 0.7986 0.2571
4 Ba 0.2500 0.2014 0.2571
5 Ga 0.2500 0.9202 0.9380
6 Ga 0.7500 0.0798 0.9380
7 Ga 0.7500 0.4202 0.4380
8 Ga 0.2500 0.5798 0.4380
9 Cd 0.2500 0.9062 0.5695
10 Cd 0.7500 0.0938 0.5695
11 Cd 0.7500 0.4062 0.0695
12 Cd 0.2500 0.5938 0.0695

For the density of states at the Fermi level, the calculation gives 0.8330 states/eV per atom. The raw total energy is -27.85 eV/cell. For the formation energy, the calculation gives -0.3662 eV/atom.

***

Computed, not measured: an optimized crystal structure of Ba2CdGa at the PBE-GGA level of DFT.

abc: 4.1369 4.1369 8.5389
angles: 90.00 90.00 90.00
Sites, in units of the cell vectors:
1 Ba 0.0000 0.0000 0.7636
2 Ba 0.0000 0.0000 0.2364
3 Ga 0.5000 0.5000 0.0000
4 Cd 0.5000 0.5000 0.5000

For the density of states at the Fermi level, the calculation gives 0.5066 states/eV per atom. The raw total energy is -9.07 eV/cell. For the formation energy, the calculation gives -0.3209 eV/atom.

***

Computed, not measured: an optimized crystal structure of Ba2Cd5Ga at the PBE-GGA level of DFT.

abc: 5.1902 9.4413 10.1544
angles: 90.00 90.00 105.95
Sites, in units of the cell vectors:
1 Ba 0.7969 0.5939 0.7500
2 Ba 0.2031 0.4061 0.2500
3 Ba 0.0000 0.0000 0.0000
4 Ba 0.0000 0.0000 0.5000
5 Cd 0.1866 0.3732 0.8943
6 Cd 0.8134 0.6268 0.1057
7 Cd 0.1866 0.3732 0.6057
8 Cd 0.8134 0.6268 0.3943
9 Cd 0.3522 0.7043 0.9762
10 Cd 0.6478 0.2957 0.0238
11 Cd 0.3522 0.7043 0.5238
12 Cd 0.6478 0.2957 0.4762
13 Cd 0.5894 0.1787 0.7500
14 Cd 0.4106 0.8213 0.2500
15 Ga 0.4382 0.8765 0.7500
16 Ga 0.5618 0.1235 0.2500

For the density of states at the Fermi level, the calculation gives 0.7918 states/eV per atom. The raw total energy is -27.58 eV/cell. For the formation energy, the calculation gives -0.2930 eV/atom.

***

Computed, not measured: an optimized crystal structure of Ba2Cd2Ga at the PBE-GGA level of DFT.

abc: 6.7665 6.7665 6.3498
angles: 57.80 57.80 90.00
Sites, in units of the cell vectors:
1 Ba 0.7500 0.2500 0.5000
2 Ba 0.2500 0.7500 0.5000
3 Ga 0.0000 0.0000 0.0000
4 Cd 0.3348 0.3348 0.3303
5 Cd 0.6652 0.6652 0.6697

For the density of states at the Fermi level, the calculation gives 1.1067 states/eV per atom. For the energy above the most stable polymorph in this dataset, the calculation gives 113.1 kJ/mol of formula units. The raw total energy is -9.15 eV/cell. For the formation energy, the calculation gives -0.0898 eV/atom.

***

Computed, not measured: an optimized crystal structure of Ba2CdGa2 at the PBE-GGA level of DFT.

abc: 8.2460 8.2460 4.9059
angles: 90.00 90.00 90.00
Sites, in units of the cell vectors:
1 Ba 0.1905 0.6905 0.5000
2 Ba 0.6905 0.8095 0.5000
3 Ba 0.8095 0.3095 0.5000
4 Ba 0.3095 0.1905 0.5000
5 Ga 0.3913 0.8913 0.0000
6 Ga 0.8913 0.6087 0.0000
7 Ga 0.6087 0.1087 0.0000
8 Ga 0.1087 0.3913 0.0000
9 Cd 0.0000 0.0000 0.0000
10 Cd 0.5000 0.5000 0.0000

For the density of states at the Fermi level, the calculation gives 1.0308 states/eV per atom. For the energy above the most stable polymorph in this dataset, the calculation gives 29.2 kJ/mol of formula units. The raw total energy is -24.31 eV/cell. For the formation energy, the calculation gives -0.2686 eV/atom.

***

Computed, not measured: an optimized crystal structure of Ba3CdGa at the PBE-GGA level of DFT.

abc: 6.4506 6.4506 6.4506
angles: 90.00 90.00 90.00
Last column: magnetic moment on the atom in μB.
Sites, in units of the cell vectors:
1 Ba 0.0000 0.5000 0.0000  0.09
2 Ba 0.0000 0.0000 0.5000  0.07
3 Ba 0.5000 0.0000 0.0000  0.11
4 Ga 0.0000 0.0000 0.0000  0.13
5 Cd 0.5000 0.5000 0.5000  0.03

For the density of states at the Fermi level, the calculation gives 1.4994 states/eV per atom. For the energy above the most stable polymorph in this dataset, the calculation gives 139.2 kJ/mol of formula units. The raw total energy is -9.67 eV/cell. For the formation energy, the calculation gives 0.0084 eV/atom.

***

Computed, not measured: an optimized crystal structure of BaCd3Ga3 at the PBE-GGA level of DFT.

abc: 4.9713 7.3758 11.8432
angles: 127.80 90.00 90.00
Sites, in units of the cell vectors:
1 Ba 0.7500 0.4822 0.7332
2 Ba 0.2500 0.5178 0.2668
3 Cd 0.7500 0.6334 0.0932
4 Cd 0.7500 0.0563 0.0961
5 Cd 0.7500 0.8344 0.5848
6 Cd 0.2500 0.3666 0.9068
7 Cd 0.2500 0.9437 0.9039
8 Cd 0.2500 0.1656 0.4152
9 Ga 0.7500 0.9468 0.3887
10 Ga 0.7500 0.1435 0.8917
11 Ga 0.7500 0.3387 0.3918
12 Ga 0.2500 0.0532 0.6113
13 Ga 0.2500 0.8565 0.1083
14 Ga 0.2500 0.6613 0.6082

For the density of states at the Fermi level, the calculation gives 0.4083 states/eV per atom. The raw total energy is -30.78 eV/cell. For the formation energy, the calculation gives -0.2342 eV/atom.

***

Computed, not measured: an optimized crystal structure of BaCdGa at the PBE-GGA level of DFT.

abc: 4.2739 5.0332 5.0332
angles: 120.00 90.00 90.00
Sites, in units of the cell vectors:
1 Ba 0.6666 0.6667 0.3333
2 Ga 0.1667 0.0000 0.0000
3 Cd 0.1667 0.3333 0.6667

For the density of states at the Fermi level, the calculation gives 0.8753 states/eV per atom. The raw total energy is -6.87 eV/cell. For the formation energy, the calculation gives -0.3356 eV/atom.